# 1
! TbScZn PBE relaxed; values from VASP
&SYSTEM
  ibrav = 0, nat = 12, ntyp = 3
/
ATOMIC_SPECIES
Sc 44.96 Sc.upf
Zn 65.41 Zn.upf
Tb 158.93 Tb.upf
CELL_PARAMETERS angstrom
-0.705 -3.495 3.165
5.482 -3.246 -2.364
5.553 4.698 6.426
ATOMIC_POSITIONS angstrom
Sc 0.090 -2.114 3.072
Sc 4.744 -0.669 2.114
Sc 10.240 0.070 4.154
Sc 5.586 -1.375 5.113
Zn 5.675 -3.273 3.036
Zn 1.860 -1.109 0.985
Zn 4.654 1.229 4.190
Zn 8.469 -0.935 6.242
Tb 3.001 -3.597 2.082
Tb 1.840 0.811 3.101
Tb 7.328 1.554 5.144
Tb 8.490 -2.855 4.126
! - symmetry = Pnma (62)
! - polymorph energy (0 for the lowest one) (eV/f.u.) = 0.72
! - energy of formation from the pure elements (eV/atom) = 0.038
! - uncorrected energy (eV per atom) = -4.040
! - DOS(E_F) (states/eV/cell) = 14.994
! - calculated density (g cm⁻³) = 5.689
! - volume (Å³/cell) = 314

# 2
! TbSc2Zn2 PBE relaxed; values from VASP
&SYSTEM
  ibrav = 0, nat = 10, ntyp = 3
/
ATOMIC_SPECIES
Tb 158.93 Tb.upf
Sc 44.96 Sc.upf
Zn 65.41 Zn.upf
CELL_PARAMETERS angstrom
-0.914 -1.379 3.017
-1.479 -4.114 -2.328
12.072 -4.211 -0.230
ATOMIC_POSITIONS angstrom
Tb 6.684 -7.254 0.668
Tb 2.996 -2.449 -0.210
Sc -0.028 -3.541 -1.627
Sc 9.708 -6.162 2.085
Sc 4.323 -5.377 -1.149
Sc 5.356 -4.326 1.607
Zn 1.693 -5.150 0.122
Zn 7.987 -4.553 0.337
Zn 9.463 -7.545 -0.583
Zn 0.217 -2.158 1.041
! - symmetry = P2_1/m (11)
! - energy of formation from the pure elements (eV/atom) = -0.268
! - uncorrected energy (eV per atom) = -4.236
! - DOS(E_F) (states/eV/cell) = 10.632
! - calculated density (g cm⁻³) = 5.839
! - volume (Å³/cell) = 216

# 3
! TbScZn PBE relaxed; values from VASP
&SYSTEM
  ibrav = 0, nat = 3, ntyp = 3
/
ATOMIC_SPECIES
Sc 44.96 Sc.upf
Zn 65.41 Zn.upf
Tb 158.93 Tb.upf
CELL_PARAMETERS angstrom
3.584 0.000 0.000
0.000 4.824 0.000
0.000 -2.412 4.178
ATOMIC_POSITIONS angstrom
Sc 0.479 0.000 0.000
Zn 0.772 0.000 2.785
Tb 2.333 2.412 1.393
! - symmetry = P3m1 (156)
! - polymorph energy (0 for the lowest one) (eV/f.u.) = 0.38
! - energy of formation from the pure elements (eV/atom) = -0.077
! - uncorrected energy (eV per atom) = -4.155
! - DOS(E_F) (states/eV/cell) = 4.495
! - calculated density (g cm⁻³) = 6.191
! - volume (Å³/cell) = 72

Copy entry 1 word for word.
! TbScZn PBE relaxed; values from VASP
&SYSTEM
  ibrav = 0, nat = 12, ntyp = 3
/
ATOMIC_SPECIES
Sc 44.96 Sc.upf
Zn 65.41 Zn.upf
Tb 158.93 Tb.upf
CELL_PARAMETERS angstrom
-0.705 -3.495 3.165
5.482 -3.246 -2.364
5.553 4.698 6.426
ATOMIC_POSITIONS angstrom
Sc 0.090 -2.114 3.072
Sc 4.744 -0.669 2.114
Sc 10.240 0.070 4.154
Sc 5.586 -1.375 5.113
Zn 5.675 -3.273 3.036
Zn 1.860 -1.109 0.985
Zn 4.654 1.229 4.190
Zn 8.469 -0.935 6.242
Tb 3.001 -3.597 2.082
Tb 1.840 0.811 3.101
Tb 7.328 1.554 5.144
Tb 8.490 -2.855 4.126
! - symmetry = Pnma (62)
! - polymorph energy (0 for the lowest one) (eV/f.u.) = 0.72
! - energy of formation from the pure elements (eV/atom) = 0.038
! - uncorrected energy (eV per atom) = -4.040
! - DOS(E_F) (states/eV/cell) = 14.994
! - calculated density (g cm⁻³) = 5.689
! - volume (Å³/cell) = 314

Q: Look up the volume of the first one.
A: 314 Å³/cell

Q: Which of these has the lowest uncorrected energy?
A: TbSc2Zn2